A plane-wave DFT calculation with PBE-GGA was carried out for an optimized crystal structure of TbPr10Tm4.

Summary:
**Spin magnetization**: 0.000 μB/f.u.

POSCAR file:
```
TbPr10Tm4
1.0
-5.0479 5.0479 5.4078
5.0479 -5.0479 5.4078
5.0479 5.0479 -5.4078
Tb Pr Tm
1 10 4
direct
0.0000 0.0000 0.0000
0.0460 0.3936 0.1062
0.0602 0.9540 0.3476
0.2500 0.7500 0.5000
0.2874 0.9398 0.8938
0.3936 0.2874 0.3476
0.6064 0.7126 0.6524
0.7126 0.0602 0.1062
0.7500 0.2500 0.5000
0.9398 0.0460 0.6524
0.9540 0.6064 0.8938
0.2276 0.4475 0.6751
0.4475 0.7724 0.2199
0.5525 0.2276 0.7801
0.7724 0.5525 0.3249
```


A plane-wave DFT calculation with PBE-GGA was carried out for an optimized crystal structure of TbPr12Tm7.

Summary:
**Spin magnetization**: 0.018 μB/f.u.
**ΔE to the lowest computed polymorph**: 0.00 eV per formula unit

POSCAR file:
```
TbPr12Tm7
1.0
6.7480 3.8960 4.3070
-6.7480 3.8960 4.3070
0.0000 -7.7920 4.3070
Tb Pr Tm
1 12 7
direct
0.0000 0.0000 0.0000
0.0904 0.3550 0.3550
0.2373 0.5000 0.7627
0.2373 0.7627 0.5000
0.3550 0.0904 0.3550
0.3550 0.3550 0.0904
0.5000 0.2373 0.7627
0.5000 0.7627 0.2373
0.6450 0.6450 0.9096
0.6450 0.9096 0.6450
0.7627 0.2373 0.5000
0.7627 0.5000 0.2373
0.9096 0.6450 0.6450
0.0949 0.0949 0.6642
0.0949 0.6642 0.0949
0.3358 0.9051 0.9051
0.5000 0.5000 0.5000
0.6642 0.0949 0.0949
0.9051 0.3358 0.9051
0.9051 0.9051 0.3358
```


A plane-wave DFT calculation with PBE-GGA was carried out for an optimized crystal structure of Tb3Pr5Tm.

Summary:
**Spin magnetization**: 0.000 μB/f.u.
**ΔE to the lowest computed polymorph**: 2.32 eV per formula unit

POSCAR file:
```
Tb3Pr5Tm
1.0
6.1215 -5.9290 0.0000
6.1215 5.9290 0.0000
-2.6606 0.0000 9.8265
Tb Pr Tm
6 10 2
direct
0.0000 0.0000 0.0000
0.0032 0.0032 0.6703
0.4896 0.4896 0.8207
0.5000 0.5000 0.5000
0.5104 0.5104 0.1793
0.9968 0.9968 0.3297
0.1471 0.6480 0.1155
0.2443 0.7557 0.5000
0.2461 0.2461 0.5778
0.2646 0.2646 0.9199
0.3520 0.8529 0.8845
0.6480 0.1471 0.1155
0.7354 0.7354 0.0801
0.7539 0.7539 0.4222
0.7557 0.2443 0.5000
0.8529 0.3520 0.8845
0.2537 0.2537 0.2442
0.7463 0.7463 0.7558
```


A plane-wave DFT calculation with PBE-GGA was carried out for an optimized crystal structure of Tb7Pr3Tm2.

Summary:
**Spin magnetization**: 0.000 μB/f.u.
**ΔE to the lowest computed polymorph**: 0.00 eV per formula unit

POSCAR file:
```
Tb7Pr3Tm2
1.0
5.8645 0.0000 0.0000
0.0000 3.5824 0.0000
-0.9971 0.0000 18.8646
Tb Pr Tm
7 3 2
direct
0.0000 0.0000 0.0000
0.1941 0.5000 0.1775
0.2567 0.5000 0.5370
0.3081 0.0000 0.8552
0.6919 0.0000 0.1448
0.7433 0.5000 0.4630
0.8059 0.5000 0.8225
0.2229 0.0000 0.3658
0.5000 0.5000 0.0000
0.7771 0.0000 0.6342
0.2872 0.5000 0.7070
0.7128 0.5000 0.2930
```


A plane-wave DFT calculation with PBE-GGA was carried out for an optimized crystal structure of Tb3Pr4Tm2.

Summary:
**Spin magnetization**: 0.000 μB/f.u.
**ΔE to the lowest computed polymorph**: 0.00 eV per formula unit

POSCAR file:
```
Tb3Pr4Tm2
1.0
4.9191 -8.5773 0.0000
4.9191 8.5773 0.0000
0.0000 0.0000 7.1037
Tb Pr Tm
6 8 4
direct
0.0000 0.0000 0.2500
0.0000 0.0000 0.7500
0.3277 0.6723 0.2500
0.3277 0.6723 0.7500
0.6723 0.3277 0.2500
0.6723 0.3277 0.7500
0.0185 0.3425 0.5000
0.3241 0.3454 0.0000
0.3425 0.0185 0.0000
0.3454 0.3241 0.5000
0.6546 0.6759 0.5000
0.6575 0.9815 0.0000
0.6759 0.6546 0.0000
0.9815 0.6575 0.5000
0.0172 0.6745 0.0000
0.3255 0.9828 0.5000
0.6745 0.0172 0.5000
0.9828 0.3255 0.0000
```


A plane-wave DFT calculation with PBE-GGA was carried out for an optimized crystal structure of Tb7PrTm2.

Summary:
**Spin magnetization**: 0.000 μB/f.u.
**ΔE to the lowest computed polymorph**: 0.00 eV per formula unit

POSCAR file:
```
Tb7PrTm2
1.0
6.1661 0.0000 0.0000
2.0446 6.8189 0.0000
2.0559 1.2329 7.5861
Tb Pr Tm
7 1 2
direct
0.0000 0.0000 0.0000
0.1997 0.8009 0.5989
0.3999 0.5997 0.2020
0.4018 0.0986 0.2023
0.5982 0.9014 0.7977
0.6001 0.4003 0.7980
0.8003 0.1991 0.4011
0.0000 0.5000 0.0000
0.1995 0.2999 0.5988
0.8005 0.7001 0.4012
```


A plane-wave DFT calculation with PBE-GGA was carried out for an optimized crystal structure of Tb3Pr2Tm6.

Summary:
**Spin magnetization**: 0.000 μB/f.u.
**ΔE to the lowest computed polymorph**: 0.90 eV per formula unit

POSCAR file:
```
Tb3Pr2Tm6
1.0
-2.3598 2.3598 16.5332
2.3598 -2.3598 16.5332
2.3598 2.3598 -16.5332
Tb Pr Tm
3 2 6
direct
0.0000 0.0000 0.0000
0.2029 0.2029 0.0000
0.7971 0.7971 0.0000
0.4534 0.4534 0.0000
0.5466 0.5466 0.0000
0.1226 0.6226 0.5000
0.3060 0.3060 0.0000
0.3774 0.8774 0.5000
0.6226 0.1226 0.5000
0.6940 0.6940 0.0000
0.8774 0.3774 0.5000
```


A plane-wave DFT calculation with PBE-GGA was carried out for an optimized crystal structure of Tb6PrTm8.

Summary:
**Spin magnetization**: 0.000 μB/f.u.

POSCAR file:
```
Tb6PrTm8
1.0
9.4045 0.0000 0.0000
-4.7022 8.1445 0.0000
0.0000 0.0000 6.4119
Tb Pr Tm
6 1 8
direct
0.1017 0.6822 0.0864
0.3178 0.4196 0.0864
0.4196 0.1017 0.9136
0.5804 0.8983 0.0864
0.6822 0.5804 0.9136
0.8983 0.3178 0.9136
0.0000 0.0000 0.0000
0.0241 0.3385 0.4095
0.3144 0.9759 0.4095
0.3333 0.6667 0.6541
0.3385 0.3144 0.5905
0.6615 0.6856 0.4095
0.6667 0.3333 0.3459
0.6856 0.0241 0.5905
0.9759 0.6615 0.5905
```


A plane-wave DFT calculation with PBE-GGA was carried out for an optimized crystal structure of Tb2Pr2Tm15.

Summary:
**Spin magnetization**: 0.002 μB/f.u.

POSCAR file:
```
Tb2Pr2Tm15
1.0
5.5699 3.2158 5.7721
-5.5699 3.2158 5.7721
0.0000 -6.4316 5.7721
Tb Pr Tm
2 2 15
direct
0.1673 0.1673 0.1673
0.8327 0.8327 0.8327
0.3810 0.3810 0.3810
0.6190 0.6190 0.6190
0.0000 0.5000 0.5000
0.1347 0.1347 0.6531
0.1347 0.6531 0.1347
0.1942 0.5000 0.8058
0.1942 0.8058 0.5000
0.3469 0.8653 0.8653
0.5000 0.0000 0.5000
0.5000 0.1942 0.8058
0.5000 0.5000 0.0000
0.5000 0.8058 0.1942
0.6531 0.1347 0.1347
0.8058 0.1942 0.5000
0.8058 0.5000 0.1942
0.8653 0.3469 0.8653
0.8653 0.8653 0.3469
```


A plane-wave DFT calculation with PBE-GGA was carried out for an optimized crystal structure of Tb4Pr4Tm.

Summary:
**Spin magnetization**: 0.000 μB/f.u.

POSCAR file:
```
Tb4Pr4Tm
1.0
5.6970 -2.5699 0.0000
5.6970 2.5699 0.0000
-3.3807 0.0000 10.3299
Tb Pr Tm
4 4 1
direct
0.1660 0.1660 0.0539
0.1677 0.1677 0.7236
0.8323 0.8323 0.2764
0.8340 0.8340 0.9461
0.1668 0.1668 0.3894
0.4991 0.4991 0.1676
0.5009 0.5009 0.8324
0.8332 0.8332 0.6106
0.5000 0.5000 0.5000
```


A plane-wave DFT calculation with PBE-GGA was carried out for an optimized crystal structure of Tb7PrTm12.

Summary:
**Spin magnetization**: 0.000 μB/f.u.
**ΔE to the lowest computed polymorph**: 0.00 eV per formula unit

POSCAR file:
```
Tb7PrTm12
1.0
6.3663 3.6756 4.4977
-6.3663 3.6756 4.4977
0.0000 -7.3511 4.4977
Tb Pr Tm
7 1 12
direct
0.0000 0.0000 0.0000
0.1487 0.4202 0.4881
0.4202 0.4881 0.1487
0.4881 0.1487 0.4202
0.5119 0.8513 0.5798
0.5798 0.5119 0.8513
0.8513 0.5798 0.5119
0.5000 0.5000 0.5000
0.0246 0.0877 0.3550
0.0877 0.3550 0.0246
0.1763 0.7512 0.3076
0.2488 0.6924 0.8237
0.3076 0.1763 0.7512
0.3550 0.0246 0.0877
0.6450 0.9754 0.9123
0.6924 0.8237 0.2488
0.7512 0.3076 0.1763
0.8237 0.2488 0.6924
0.9123 0.6450 0.9754
0.9754 0.9123 0.6450
```


A plane-wave DFT calculation with PBE-GGA was carried out for an optimized crystal structure of Tb3Pr3Tm4.

Summary:
**Spin magnetization**: 0.000 μB/f.u.

POSCAR file:
```
Tb3Pr3Tm4
1.0
3.6694 0.0000 0.0000
0.0000 6.6974 6.7275
0.0000 -6.6974 6.7275
Tb Pr Tm
3 3 4
direct
0.0000 0.0000 0.0000
0.5000 0.3199 0.8273
0.5000 0.8273 0.3199
0.0000 0.1499 0.4999
0.0000 0.4999 0.1499
0.0000 0.6514 0.6514
0.5000 0.2003 0.2003
0.5000 0.4488 0.4488
0.5000 0.7053 0.9506
0.5000 0.9506 0.7053
```


Number 1: energy of formation 429 meV/atom. Number 2: energy of formation 99 meV/atom. Number 3: energy of formation 520 meV/atom. Number 4: energy of formation 88 meV/atom. Number 5: energy of formation 56 meV/atom. Number 6: energy of formation 18 meV/atom. Number 7: energy of formation 267 meV/atom. Number 8: energy of formation 229 meV/atom. Number 9: energy of formation 288 meV/atom. Number 10: energy of formation 18 meV/atom. Number 11: energy of formation 312 meV/atom. Number 12: energy of formation 95 meV/atom.